Entry from Alexandria via LeMat-Bulk: an optimized crystal structure of NdNi2P2 (PBE-GGA).

Geometry as extended XYZ:
```
5
Lattice="-3.8064 -0.9936 -0.4507 0.9118 -2.0051 -3.2905 2.1708 -2.4240 4.4701" Properties=species:S:1:pos:R:3 pbc="T T T"
Ni -1.5385 -2.4591 1.0727
Ni 0.8147 -2.9636 -0.3437
Nd 0.0000 0.0000 0.0000
P -1.2632 -2.5072 -1.2058
P 0.5395 -2.9155 1.9347
```

Summary:
E_form: -988 meV/atom
Symmetry: I4/mmm
Size of the total moment: 0.00 μB per formula unit
DOS at the Fermi energy: 1.90 states/eV per cell